[1]
Crystalline Nd7Sn5Au at its relaxed geometry, computed with PBE-GGA.

Geometry as POSCAR:
```
Nd7Sn5Au
1.0
-2.685 -5.822 -0.585
3.924 -5.851 4.786
-6.484 -1.112 5.409
Nd Sn Au
7 5 1
Direct
0.006 0.666 0.322
0.006 0.322 0.666
0.524 0.139 0.814
0.287 0.213 0.213
0.524 0.814 0.139
0.659 0.341 0.341
0.233 0.767 0.767
0.509 0.484 0.995
0.013 0.995 0.484
0.013 0.484 0.995
0.770 0.730 0.730
0.509 0.995 0.484
0.948 0.052 0.052
```

Results
Uncorrected energy in eV/cell: -63.02

---

[2]
Crystalline Li3Tm5Se8 at its relaxed geometry, computed with PBE-GGA.

Geometry as POSCAR:
```
Li3Tm5Se8
1.0
6.928 0.000 3.968
2.327 6.525 3.968
0.028 0.020 7.983
Se Li Tm
8 3 5
Direct
0.750 0.244 0.256
0.250 0.756 0.744
0.250 0.250 0.744
0.750 0.750 0.256
0.756 0.250 0.744
0.751 0.751 0.748
0.249 0.249 0.252
0.244 0.750 0.256
0.500 0.000 0.500
0.000 0.500 0.500
0.000 0.000 0.500
0.500 0.500 0.000
0.500 0.500 0.500
0.000 0.000 0.000
0.000 0.500 0.000
0.500 0.000 0.000
```

Results
ΔE_f (raw) in eV per atom: -1.7011

---

[3]
Crystalline MgNi2Cl at its relaxed geometry, computed with PBE-GGA.

Geometry as POSCAR:
```
MgNi2Cl
1.0
-3.278 0.889 -1.867
-3.634 -0.789 1.094
-0.095 5.252 2.964
Cl Mg Ni
1 1 2
Direct
0.621 0.621 0.477
0.277 0.277 0.212
0.955 0.955 0.952
0.647 0.647 0.859
```

Results
Distance to the lowest polymorph of the same formula in meV/atom: 35
ΔE_f (raw) in eV per atom: -0.1351

---

[4]
Crystalline TbY2Ho6Sc3 at its relaxed geometry, computed with PBE-GGA.

Geometry as POSCAR:
```
TbY2Ho6Sc3
1.0
-2.283 -5.138 -2.173
0.897 0.625 5.927
-9.959 5.648 -0.107
Ho Sc Y Tb
6 3 2 1
Direct
0.754 0.754 0.260
0.580 0.913 0.740
0.087 0.420 0.260
0.913 0.580 0.740
0.420 0.087 0.260
0.246 0.246 0.740
0.833 0.167 0.500
0.167 0.833 0.500
0.500 0.500 0.500
0.667 0.333 0.000
0.333 0.667 0.000
0.000 0.000 0.000
```

Results
Uncorrected energy in eV/cell: -63.47

---

[5]
Crystalline LaZrTc2 at its relaxed geometry, computed with PBE-GGA.

Geometry as POSCAR:
```
LaZrTc2
1.0
3.371 0.000 0.000
0.000 5.237 0.000
0.000 0.000 4.453
Tc La Zr
2 1 1
Direct
0.500 0.500 0.000
0.000 0.000 0.000
0.000 0.500 0.500
0.500 0.000 0.500
```

Results
Distance to the lowest polymorph of the same formula in meV/atom: 268

---

[6]
Crystalline ZrZn2Te at its relaxed geometry, computed with PBE-GGA.

Geometry as POSCAR:
```
ZrZn2Te
1.0
5.559 0.015 0.014
-2.731 4.842 0.014
0.470 0.808 3.100
Te Zn Zr
1 2 1
Direct
0.000 0.500 0.500
0.500 0.500 0.000
0.000 0.000 0.000
0.500 0.000 0.500
```

Results
ΔE_f (raw) in eV per atom: -0.0376

---

[7]
Crystalline Nd3AsSeCl at its relaxed geometry, computed with PBE-GGA.

Geometry as POSCAR:
```
Nd3AsSeCl
1.0
4.153 0.000 0.000
0.000 8.598 0.826
0.000 -1.406 10.084
Nd Se As Cl
6 2 2 2
Direct
0.750 0.384 0.149
0.250 0.125 0.866
0.750 0.875 0.134
0.250 0.659 0.429
0.250 0.616 0.851
0.750 0.341 0.571
0.750 0.872 0.840
0.250 0.128 0.160
0.750 0.369 0.857
0.250 0.631 0.143
0.750 0.881 0.416
0.250 0.119 0.584
```

Results
ΔE_f (raw) in eV per atom: -1.5170

---

[8]
Crystalline K2PuScTe4 at its relaxed geometry, computed with PBE-GGA.

Geometry as POSCAR:
```
K2PuScTe4
1.0
-1.195 2.388 -3.551
-6.421 -4.229 -0.683
-1.844 6.649 5.091
Te Sc K Pu
4 1 2 1
Direct
0.500 0.249 0.206
0.000 0.720 0.200
0.500 0.751 0.794
0.000 0.280 0.800
0.500 0.500 0.000
0.000 0.500 0.500
0.500 0.000 0.500
0.000 0.000 0.000
```

Results
ΔE_f (raw) in eV per atom: -1.1684

---

- Which formula does entry 1 have?
  Nd7Sn5Au

---

Please write out number 7 again, unchanged.
Crystalline Nd3AsSeCl at its relaxed geometry, computed with PBE-GGA.

Geometry as POSCAR:
```
Nd3AsSeCl
1.0
4.153 0.000 0.000
0.000 8.598 0.826
0.000 -1.406 10.084
Nd Se As Cl
6 2 2 2
Direct
0.750 0.384 0.149
0.250 0.125 0.866
0.750 0.875 0.134
0.250 0.659 0.429
0.250 0.616 0.851
0.750 0.341 0.571
0.750 0.872 0.840
0.250 0.128 0.160
0.750 0.369 0.857
0.250 0.631 0.143
0.750 0.881 0.416
0.250 0.119 0.584
```

Results
ΔE_f (raw) in eV per atom: -1.5170

---

Copy entry 7 word for word.
Crystalline Nd3AsSeCl at its relaxed geometry, computed with PBE-GGA.

Geometry as POSCAR:
```
Nd3AsSeCl
1.0
4.153 0.000 0.000
0.000 8.598 0.826
0.000 -1.406 10.084
Nd Se As Cl
6 2 2 2
Direct
0.750 0.384 0.149
0.250 0.125 0.866
0.750 0.875 0.134
0.250 0.659 0.429
0.250 0.616 0.851
0.750 0.341 0.571
0.750 0.872 0.840
0.250 0.128 0.160
0.750 0.369 0.857
0.250 0.631 0.143
0.750 0.881 0.416
0.250 0.119 0.584
```

Results
ΔE_f (raw) in eV per atom: -1.5170